No. 1
Compound: ScMoBr2
Source: Alexandria via LeMat-Bulk
Functional: PBE-GGA
Structure: optimized geometry

Values from the calculation:
* energy relative to the elements, uncorrected: -0.3 eV per formula unit
* polymorph energy (0 for the lowest one): 1.145 eV/f.u.

abc: 7.190 7.190 7.190
angles: 153.59 146.90 42.83
Fractional coordinates of all 4 atoms:
Sc: 0.000 0.000 0.000
Mo: 0.834 0.334 0.500
Br: 0.358 0.858 0.500
Br: 0.607 0.607 0.000

=====

No. 2
Compound: P2PbSe
Source: Alexandria via LeMat-Bulk
Functional: PBE-GGA
Structure: optimized geometry

Values from the calculation:
* energy relative to the elements, uncorrected: -0.1 eV per formula unit
* polymorph energy (0 for the lowest one): 0.000 eV/f.u.

abc: 4.790 3.572 5.884
angles: 90.00 107.23 90.00
Fractional coordinates of all 4 atoms:
P: 0.000 0.000 0.000
P: 0.303 0.500 0.016
Pb: 0.487 0.500 0.574
Se: 0.978 0.000 0.394

=====

No. 3
Compound: BaPmEu2
Source: Alexandria via LeMat-Bulk
Functional: PBE-GGA
Structure: optimized geometry

Values from the calculation:
* ΔE_f: 0.09 eV per atom
* polymorph energy (0 for the lowest one): 0.000 eV/f.u.

abc: 3.982 3.982 11.184
angles: 90.00 90.00 90.00
Fractional coordinates of all 4 atoms:
Ba: 0.000 0.000 0.000
Pm: 0.000 0.000 0.500
Eu: 0.500 0.500 0.280
Eu: 0.500 0.500 0.720

=====

No. 4
Compound: LaNd6Er2
Source: Alexandria via LeMat-Bulk
Functional: PBE-GGA
Structure: optimized geometry

Values from the calculation:
* ΔE_f: 0.02 eV per atom
* polymorph energy (0 for the lowest one): 0.000 eV/f.u.

abc: 9.657 9.657 8.940
angles: 90.64 90.64 21.86
Fractional coordinates of all 9 atoms:
La: 0.000 0.000 0.000
Nd: 0.109 0.109 0.663
Nd: 0.220 0.220 0.336
Nd: 0.333 0.333 0.002
Nd: 0.667 0.667 0.998
Nd: 0.780 0.780 0.664
Nd: 0.891 0.891 0.337
Er: 0.445 0.445 0.665
Er: 0.555 0.555 0.335

=====

No. 5
Compound: Ba3La2Ti2Nb2O15
Source: Alexandria via LeMat-Bulk
Functional: PBE-GGA
Structure: optimized geometry

Values from the calculation:
* energy relative to the elements, uncorrected: -72.7 eV per formula unit

abc: 5.724 5.724 11.731
angles: 90.00 90.00 120.00
Fractional coordinates of all 24 atoms:
Ba: 0.000 0.000 0.000
Ba: 0.333 0.667 0.422
Ba: 0.667 0.333 0.578
La: 0.333 0.667 0.784
La: 0.667 0.333 0.216
Ti: 0.333 0.667 0.096
Ti: 0.667 0.333 0.904
Nb: 0.000 0.000 0.306
Nb: 0.000 0.000 0.694
O: 0.000 0.500 0.000
O: 0.169 0.339 0.192
O: 0.169 0.831 0.192
O: 0.172 0.343 0.620
O: 0.172 0.828 0.620
O: 0.339 0.169 0.808
O: 0.343 0.172 0.380
O: 0.500 0.000 0.000
O: 0.500 0.500 0.000
O: 0.657 0.828 0.620
O: 0.661 0.831 0.192
O: 0.828 0.172 0.380
O: 0.828 0.657 0.380
O: 0.831 0.169 0.808
O: 0.831 0.661 0.808

=====

No. 6
Compound: TbEr3Bi3
Source: Alexandria via LeMat-Bulk
Functional: PBE-GGA
Structure: optimized geometry

Values from the calculation:
* ΔE_f: -0.69 eV per atom
* polymorph energy (0 for the lowest one): 0.000 eV/f.u.

abc: 9.340 9.340 9.340
angles: 90.00 90.00 90.00
Fractional coordinates of all 28 atoms:
Tb: 0.072 0.428 0.572
Tb: 0.428 0.572 0.072
Tb: 0.572 0.072 0.428
Tb: 0.928 0.928 0.928
Er: 0.076 0.576 0.924
Er: 0.176 0.824 0.324
Er: 0.177 0.177 0.177
Er: 0.323 0.823 0.677
Er: 0.324 0.176 0.824
Er: 0.424 0.424 0.424
Er: 0.576 0.924 0.076
Er: 0.676 0.676 0.676
Er: 0.677 0.323 0.823
Er: 0.823 0.677 0.323
Er: 0.824 0.324 0.176
Er: 0.924 0.076 0.576
Bi: 0.001 0.253 0.876
Bi: 0.124 0.501 0.247
Bi: 0.247 0.124 0.501
Bi: 0.253 0.876 0.001
Bi: 0.376 0.499 0.747
Bi: 0.499 0.747 0.376
Bi: 0.501 0.247 0.124
Bi: 0.624 0.999 0.753
Bi: 0.747 0.376 0.499
Bi: 0.753 0.624 0.999
Bi: 0.876 0.001 0.253
Bi: 0.999 0.753 0.624

=====

No. 7
Compound: In2Sb2Se
Source: Alexandria via LeMat-Bulk
Functional: PBE-GGA
Structure: optimized geometry

Values from the calculation:
* energy relative to the elements, uncorrected: 0.7 eV per formula unit
* polymorph energy (0 for the lowest one): 0.458 eV/f.u.

abc: 7.868 7.868 4.766
angles: 90.00 90.00 90.00
Fractional coordinates of all 10 atoms:
In: 0.181 0.319 0.000
In: 0.319 0.819 0.000
In: 0.681 0.181 0.000
In: 0.819 0.681 0.000
Sb: 0.125 0.625 0.500
Sb: 0.375 0.125 0.500
Sb: 0.625 0.875 0.500
Sb: 0.875 0.375 0.500
Se: 0.000 0.000 0.000
Se: 0.500 0.500 0.000

=====

No. 8
Compound: Ac2PuP
Source: Alexandria via LeMat-Bulk
Functional: PBE-GGA
Structure: optimized geometry

Values from the calculation:
* ΔE_f: -0.22 eV per atom

abc: 11.366 11.366 11.366
angles: 20.40 20.40 20.40
Fractional coordinates of all 4 atoms:
Ac: 0.111 0.111 0.111
Ac: 0.889 0.889 0.889
Pu: 0.000 0.000 0.000
P: 0.500 0.500 0.500

=====

| no. | E (eV per atom) |
| --- | --- |
| 1 | -5.199 |
| 2 | -4.522 |
| 3 | -6.713 |
| 4 | -4.721 |
| 5 | -8.274 |
| 6 | -4.971 |
| 7 | -3.296 |
| 8 | -7.206 |